A relaxed structure of ScAg2Pd2. Source: Alexandria via LeMat-Bulk, functional PBE.

Lattice parameters (Å, degrees): 7.5510 7.5510 3.1756 90.00 90.00 90.00
Fractional positions:
Sc: 0.0000 0.0000 0.0000
Sc: 0.5000 0.5000 0.0000
Pd: 0.1694 0.6694 0.5000
Pd: 0.6694 0.8306 0.5000
Pd: 0.8306 0.3306 0.5000
Pd: 0.3306 0.1694 0.5000
Ag: 0.3708 0.8708 0.0000
Ag: 0.8708 0.6292 0.0000
Ag: 0.6292 0.1292 0.0000
Ag: 0.1292 0.3708 0.0000

DOS(E_F), states/eV per cell: 3.44
Formation energy from the elements, eV per atom: -0.197
Crystal system: tetragonal